VASP calculation (PBE-GGA) on a relaxed NdSmNi2 crystal.

a = 4.2861 Å, b = 5.5532 Å, c = 5.5532 Å
α = 40.22°, β = 90.00°, γ = 90.00°
Positions (direct):
Nd 0.0000 0.0000 0.0000
Sm 0.5000 0.2773 0.2773
Ni 0.0000 0.7126 0.7126
Ni 0.5000 0.5682 0.5682

Summary:
Calculated volume ... 21.33 Å³ per atom
DFT total energy ... -22.01 eV per cell